LaSnSe2N: optimized geometry, PBE.

Values from the calculation:
ΔE to the lowest computed polymorph: 0 kJ/mol of formula units
M_tot: 0.0 μB/f.u.
space group: P4/mmm (123)
E_form (uncorrected): -37 kJ/mol of atoms

POSCAR file:
```
LaSnSe2N
1.0
5.363 0.000 0.000
0.000 5.363 0.000
0.000 0.000 4.054
La Sn Se N
1 1 2 1
Cartesian
0.000 0.000 0.000
2.682 2.682 2.027
0.000 2.682 2.027
2.682 0.000 2.027
2.682 2.682 0.000
```


Y12Ho3Sc: optimized geometry, PBE.

Values from the calculation:
energy of formation from the pure elements: 31 meV/atom
M_tot: 0.0 μB/f.u.
space group: P4/mmm (123)

POSCAR file:
```
Y12Ho3Sc
1.0
5.016 0.000 0.000
0.000 5.016 0.000
0.000 0.000 20.034
Y Ho Sc
12 3 1
Cartesian
0.000 0.000 0.000
0.000 0.000 4.958
0.000 0.000 10.017
0.000 0.000 15.077
0.000 2.508 2.436
0.000 2.508 7.488
0.000 2.508 12.546
0.000 2.508 17.598
2.508 0.000 2.436
2.508 0.000 7.488
2.508 0.000 12.546
2.508 0.000 17.598
2.508 2.508 4.972
2.508 2.508 10.017
2.508 2.508 15.063
2.508 2.508 0.000
```


TbGa4Ni2: optimized geometry, PBE.

Values from the calculation:
ΔE to the lowest computed polymorph: 0 kJ/mol of formula units
energy of formation from the pure elements: -537 meV/atom
M_tot: 0.0 μB/f.u.
space group: Pnma (62)

POSCAR file:
```
TbGa4Ni2
1.0
16.883 0.000 0.000
0.000 4.166 0.000
0.000 0.000 6.384
Tb Ga Ni
4 16 8
Cartesian
2.353 1.041 0.085
6.088 3.124 3.277
10.795 1.041 3.107
14.529 3.124 6.299
0.570 3.124 5.340
1.229 1.041 3.182
3.115 3.124 2.054
3.292 3.124 4.636
5.149 1.041 1.444
5.326 1.041 5.246
7.212 3.124 6.374
7.871 1.041 2.148
9.011 3.124 4.235
9.670 1.041 0.010
11.556 3.124 1.137
11.734 3.124 4.940
13.590 1.041 1.748
13.768 1.041 4.329
15.653 3.124 3.202
16.313 1.041 1.044
0.633 3.124 1.576
3.658 1.041 3.370
4.783 3.124 0.179
7.808 1.041 4.768
9.075 3.124 1.616
12.099 1.041 6.205
13.225 3.124 3.013
16.249 1.041 4.808
```


CsLaF3: optimized geometry, PBE.

Values from the calculation:
M_tot: 0.7 μB/f.u.
space group: Pm-3m (221)
E_form (uncorrected): -291 kJ/mol of atoms

POSCAR file:
```
CsLaF3
1.0
4.741 0.000 0.000
0.000 4.741 0.000
0.000 0.000 4.741
Cs La F
1 1 3
Cartesian
0.000 0.000 0.000
2.370 2.370 2.370
0.000 2.370 2.370
2.370 0.000 2.370
2.370 2.370 0.000
```


Al3Tl6I14: optimized geometry, PBE.

Values from the calculation:
M_tot: 0.8 μB/f.u.
space group: P3 (143)
E_form (uncorrected): -60 kJ/mol of atoms

POSCAR file:
```
Al3Tl6I14
1.0
12.884 0.000 0.000
-6.442 11.157 0.000
0.000 0.000 6.983
Al Tl I
3 6 14
Cartesian
0.000 0.000 0.000
0.000 7.438 3.418
6.442 3.719 0.959
-2.805 5.027 6.219
2.820 2.376 2.795
-0.686 11.073 6.219
3.491 6.215 6.219
9.416 1.254 2.795
7.090 7.527 2.795
0.000 0.000 4.435
-0.383 2.390 0.883
-4.180 10.294 0.883
-2.276 8.263 4.305
0.424 5.055 4.305
0.000 7.438 0.870
4.051 2.878 6.327
6.001 1.233 2.576
1.852 8.997 4.305
4.509 5.344 2.576
8.365 2.069 6.327
4.563 9.631 0.883
6.909 6.210 6.327
8.816 4.581 2.576
```


TaSb2Mo: optimized geometry, PBE.

Values from the calculation:
M_tot: 0.0 μB/f.u.
space group: Pm (6)
E_form (uncorrected): 27 kJ/mol of atoms

POSCAR file:
```
TaSb2Mo
1.0
3.428 0.000 0.000
0.000 4.947 0.000
-1.196 0.000 5.004
Ta Sb Mo
1 2 1
Cartesian
0.000 0.000 0.000
-0.617 2.473 3.671
1.635 0.000 2.188
2.203 2.473 0.823
```


Here are the calculated DOS at the Fermi energy numbers, same order: 2.8, 23.2, 3.6, 7.7, 3.9, 2.0 (states/eV/f.u.).